[1]
The following is a PBE calculation of a geometry-optimized Er2Tm2Tl5 structure, from the Alexandria database.

The value obtained for the energy of formation is -0.148 eV/atom. The value obtained for the density of states at the Fermi level is 23.8 states/eV per cell.

The space group is Cmce (No. 64) and the conventional cell measures 15.956, 7.970 and 8.100 Å, with angles of 90.00, 90.00 and 90.00 degrees. The inequivalent atoms are Er at (0.199, 0.000, 0.000), Tm at (0.000, 0.151, 0.345), Tl at (0.000, 0.000, 0.000) and Tl at (0.137, 0.149, 0.647).

=====

[2]
The following is a PBE calculation of a geometry-optimized ErTm6Tl6 structure, from the Alexandria database.

The value obtained for the energy of formation is -0.131 eV/atom. The value obtained for the density of states at the Fermi level is 11.2 states/eV per cell.

The space group is P6/mmm (No. 191) and the conventional cell measures 6.3685, 6.3685 and 10.4287 Å, with angles of 90.00, 90.00 and 120.00 degrees. The inequivalent atoms are Er at (0.0000, 0.0000, 0.0000), Tm at (0.0000, 0.0000, 0.3387), Tm at (0.3333, 0.6667, 0.0000), Tm at (0.3333, 0.6667, 0.5000) and Tl at (0.0000, 0.5000, 0.2460).

=====

[3]
The following is a PBE calculation of a geometry-optimized ErTm3Tl3 structure, from the Alexandria database.

The value obtained for the energy of formation is -0.088 eV/atom. The value obtained for the density of states at the Fermi level is 15.2 states/eV per cell.

The space group is P6_3/m (No. 176) and the conventional cell measures 9.0299, 9.0299 and 5.6207 Å, with angles of 90.00, 90.00 and 120.00 degrees. The inequivalent atoms are Er at (0.3333, 0.6667, 0.2500), Tm at (0.0978, 0.4575, 0.7500) and Tl at (0.0488, 0.2456, 0.2500).

=====

[4]
The following is a PBE calculation of a geometry-optimized Er12Tm6Tl structure, from the Alexandria database.

The value obtained for the energy of formation is 0.096 eV/atom. The value obtained for the density of states at the Fermi level is 85.1 states/eV per cell.

The space group is R-3 (No. 148, hexagonal axes) and the conventional cell measures 11.6843, 11.6843 and 14.7853 Å, with angles of 90.00, 90.00 and 120.00 degrees. The inequivalent atoms are Er at (0.0036, 0.1779, 0.3138), Er at (0.0452, 0.8493, 0.9155), Tm at (0.0189, 0.4282, 0.1873) and Tl at (0.0000, 0.0000, 0.5000).